Computed, not measured: a relaxed LaPuGe crystal at the GGA-PBE level of DFT.

Cell: 4.9860 4.9860 4.9860 Å, 60.00 60.00 60.00°
Fractional coordinates of all 3 atoms:
Ge 0.2500 0.2500 0.2500
La 0.0000 0.0000 0.0000
Pu 0.7500 0.7500 0.7500

## Properties
symmetry: F-43m, No. 216


Computed, not measured: a relaxed LaReGe crystal at the GGA-PBE level of DFT.

Cell: 4.5998 4.5998 4.5998 Å, 60.00 60.00 60.00°
Fractional coordinates of all 3 atoms:
Ge 0.2500 0.2500 0.2500
La 0.7500 0.7500 0.7500
Re 0.0000 0.0000 0.0000

## Properties
symmetry: F-43m, No. 216


Computed, not measured: a relaxed LaSiTc2Ge crystal at the GGA-PBE level of DFT.

Cell: 6.0677 6.0677 6.0677 Å, 139.25 139.25 59.00°
Fractional coordinates of all 5 atoms:
Ge 0.6241 0.6241 0.0000
La 0.0007 0.0007 0.0000
Si 0.3677 0.3677 0.0000
Tc 0.7537 0.2537 0.5000
Tc 0.2537 0.7537 0.5000

## Properties
symmetry: I4mm, No. 107


Computed, not measured: a relaxed LaSmGe2 crystal at the GGA-PBE level of DFT.

Cell: 8.4068 8.4068 5.4800 Å, 90.00 90.00 144.20°
Fractional coordinates of all 8 atoms:
Ge 0.2407 0.7593 0.2500
Ge 0.0175 0.9825 0.2500
Ge 0.9825 0.0175 0.7500
Ge 0.7593 0.2407 0.7500
La 0.8309 0.1691 0.2500
La 0.1691 0.8309 0.7500
Sm 0.6073 0.3927 0.2500
Sm 0.3927 0.6073 0.7500

## Properties
symmetry: Cmcm, No. 63


Computed, not measured: a relaxed La2SmZn4Ge4 crystal at the GGA-PBE level of DFT.

Cell: 13.0271 13.0271 13.0271 Å, 161.21 161.01 26.84°
Fractional coordinates of all 11 atoms:
Ge 0.4514 0.4514 0.0000
Ge 0.5486 0.5486 0.0000
Ge 0.8088 0.3088 0.5000
Ge 0.1912 0.6912 0.5000
La 0.6449 0.1449 0.5000
La 0.3551 0.8551 0.5000
Sm 0.0000 0.0000 0.0000
Zn 0.2500 0.2500 0.0000
Zn 0.7500 0.7500 0.0000
Zn 0.9066 0.4066 0.5000
Zn 0.0934 0.5934 0.5000

## Properties
symmetry: Immm, No. 71


Computed, not measured: a relaxed LaTbGe2 crystal at the GGA-PBE level of DFT.

Cell: 8.2948 8.2948 4.6787 Å, 90.00 90.00 137.78°
Fractional coordinates of all 8 atoms:
Ge 0.3150 0.6850 0.2500
Ge 0.0361 0.9639 0.2500
Ge 0.9639 0.0361 0.7500
Ge 0.6850 0.3150 0.7500
La 0.8237 0.1763 0.2500
La 0.1763 0.8237 0.7500
Tb 0.5764 0.4236 0.2500
Tb 0.4236 0.5764 0.7500

## Properties
symmetry: Cmcm, No. 63


| no. | raw total energy (eV/cell) | mass density (g cm⁻³) |
| --- | --- | --- |
| 1 | -23.39 | 8.63 |
| 2 | -20.96 | 9.60 |
| 3 | -38.28 | 7.67 |
| 4 | -41.28 | 6.37 |
| 5 | -44.75 | 7.03 |
| 6 | -42.43 | 6.80 |